VASP calculation (PBE-GGA) on an optimized crystal structure of Th8Te4Ir3Ru.

The structure in POSCAR format:
```
Th8Te4Ir3Ru
1.0
-6.7476 4.4515 2.2553
-0.2606 -4.4205 7.9454
7.1379 3.9284 -2.0127
Ir Te Th Ru
3 4 8 1
Cartesian
3.4387 -0.2461 2.9664 Ir
-3.5041 0.0155 5.1004 Ir
0.0649 1.9796 4.0940 Ir
0.1952 4.1899 0.1213 Te
3.5690 1.9642 -1.0063 Te
-3.3738 2.2257 1.1277 Te
0.0000 0.0000 0.0000 Te
1.5663 -0.2410 5.1618 Th
-5.0372 2.2187 4.0417 Th
-1.4365 4.2003 3.0263 Th
-1.7975 2.0030 6.2832 Th
1.9272 1.9563 1.9049 Th
1.7631 3.9861 5.2840 Th
5.1669 1.7406 4.1463 Th
-1.6333 -0.0269 2.9040 Th
-0.1303 -2.2103 3.9727 Ru
```

Summary:
- Calculated total energy: -7.820 eV per atom
- SG: R-3m (166)
- Formation energy (no corrections): -1.0840 eV/atom
- D(E_F): 8.7 states/eV/f.u.
- Total moment: 0.0 μB/f.u.